# 1
InGaSn2B: relaxed, GGA-PBEsol.

The structure belongs to space group P4/mmm (No. 123); the cell edges are 5.776, 5.776 and 4.063 Å and the angles 90.00°, 90.00° and 90.00°. The inequivalent atoms are In at (0.000, 0.000, 0.000), Ga at (0.500, 0.500, 0.500), Sn at (0.000, 0.500, 0.000) and B at (0.000, 0.000, 0.500).

As for the total magnetization: 0.0 μB/f.u. For the total DFT energy (no corrections), the calculation gives -3.32 eV/atom.

# 2
Ga8BIr4: relaxed, GGA-PBEsol.

The structure belongs to space group I4_1/acd (No. 142, origin choice 2); the cell edges are 8.512, 8.512 and 20.999 Å and the angles 90.00°, 90.00° and 90.00°. The inequivalent atoms are Ga at (0.062, 0.036, 0.312), Ga at (0.065, 0.034, 0.441), B at (0.000, 0.250, 0.125), Ir at (0.000, 0.250, 0.023) and Ir at (0.176, 0.074, 0.625).

As for the total magnetization: 0.0 μB/f.u. For the total DFT energy (no corrections), the calculation gives -6.09 eV/atom.

# 3
GaBIr2: relaxed, GGA-PBEsol.

The structure belongs to space group Fm-3m (No. 225); the cell edges are 5.779, 5.779 and 5.779 Å and the angles 90.00°, 90.00° and 90.00°. The inequivalent atoms are Ga at (0.000, 0.000, 0.000), B at (0.000, 0.000, 0.500) and Ir at (0.250, 0.250, 0.250).

As for the total magnetization: 0.0 μB/f.u. For the total DFT energy (no corrections), the calculation gives -7.41 eV/atom.

# 4
GaBIr2: relaxed, GGA-PBEsol.

The structure belongs to space group I-42d (No. 122); the cell edges are 5.304, 5.304 and 9.132 Å and the angles 90.00°, 90.00° and 90.00°. The inequivalent atoms are Ga at (0.000, 0.000, 0.000), B at (0.000, 0.000, 0.500) and Ir at (0.182, 0.250, 0.625).

As for the total magnetization: 0.0 μB/f.u. For the total DFT energy (no corrections), the calculation gives -7.16 eV/atom.

# 5
Mg2GaB2Ir5: relaxed, GGA-PBEsol.

The structure belongs to space group P4/mbm (No. 127); the cell edges are 9.384, 9.384 and 2.918 Å and the angles 90.00°, 90.00° and 90.00°. The inequivalent atoms are Mg at (0.176, 0.324, 0.000), Ga at (0.000, 0.000, 0.000), B at (0.126, 0.626, 0.000), Ir at (0.000, 0.500, 0.500) and Ir at (0.071, 0.786, 0.500).

As for the total magnetization: 0.0 μB/f.u. For the total DFT energy (no corrections), the calculation gives -7.52 eV/atom.

# 6
Li3GaB2O6: relaxed, GGA-PBEsol.

The structure belongs to space group P-1 (No. 2); the cell edges are 4.937, 6.166 and 7.885 Å and the angles 75.19°, 89.12° and 89.66°. The inequivalent atoms are Li at (0.165, 0.257, 0.393), Li at (0.176, 0.968, 0.740), Li at (0.322, 0.098, 0.075), Ga at (0.354, 0.451, 0.732), B at (0.162, 0.675, 0.089), B at (0.341, 0.825, 0.430), O at (0.122, 0.326, 0.910), O at (0.205, 0.987, 0.316), O at (0.223, 0.718, 0.593), O at (0.289, 0.512, 0.221), O at (0.300, 0.831, 0.969) and O at (0.389, 0.234, 0.601).

As for the total magnetization: 0.0 μB/f.u. For the total DFT energy (no corrections), the calculation gives -6.84 eV/atom. For the raw formation energy, the calculation gives -2.27 eV/atom.

# 7
LiGa2BPb: relaxed, GGA-PBEsol.

The structure belongs to space group P4/mmm (No. 123); the cell edges are 5.306, 5.306 and 5.037 Å and the angles 90.00°, 90.00° and 90.00°. The inequivalent atoms are Li at (0.000, 0.000, 0.000), Ga at (0.000, 0.500, 0.500), B at (0.500, 0.500, 0.000) and Pb at (0.000, 0.000, 0.500).

As for the total magnetization: 0.0 μB/f.u. For the total DFT energy (no corrections), the calculation gives -2.51 eV/atom.

# 8
MgGaBO4: relaxed, GGA-PBEsol.

The structure belongs to space group Pnma (No. 62); the cell edges are 9.261, 3.070 and 9.313 Å and the angles 90.00°, 90.00° and 90.00°. The inequivalent atoms are Mg at (0.103, 0.250, 0.184), Ga at (0.115, 0.250, 0.568), B at (0.166, 0.250, 0.870), O at (0.008, 0.250, 0.384), O at (0.022, 0.250, 0.871), O at (0.243, 0.250, 0.740) and O at (0.244, 0.250, 0.000).

As for the total magnetization: 0.0 μB/f.u. For the total DFT energy (no corrections), the calculation gives -7.11 eV/atom. For the raw formation energy, the calculation gives -2.39 eV/atom.

# 9
GaBN2O: relaxed, GGA-PBEsol.

The structure belongs to space group P4/mmm (No. 123); the cell edges are 2.991, 2.991 and 5.453 Å and the angles 90.00°, 90.00° and 90.00°. The inequivalent atoms are Ga at (0.000, 0.000, 0.000), B at (0.500, 0.500, 0.500), N at (0.000, 0.500, 0.500) and O at (0.500, 0.500, 0.000).

As for the total magnetization: 0.0 μB/f.u. For the total DFT energy (no corrections), the calculation gives -6.20 eV/atom. For the raw formation energy, the calculation gives 0.33 eV/atom.

# 10
GaBOsN2: relaxed, GGA-PBEsol.

The structure belongs to space group P4/mmm (No. 123); the cell edges are 3.696, 3.696 and 5.305 Å and the angles 90.00°, 90.00° and 90.00°. The inequivalent atoms are Ga at (0.000, 0.000, 0.000), B at (0.500, 0.500, 0.000), Os at (0.000, 0.000, 0.500) and N at (0.000, 0.500, 0.500).

As for the total magnetization: 0.0 μB/f.u. For the total DFT energy (no corrections), the calculation gives -6.71 eV/atom. For the raw formation energy, the calculation gives 1.21 eV/atom.

# 11
Na3GaB4O9: relaxed, GGA-PBEsol.

The structure belongs to space group P2_1/m (No. 11); the cell edges are 6.248, 8.708 and 6.823 Å and the angles 90.00°, 99.08° and 90.00°. The inequivalent atoms are Na at (0.077, 0.250, 0.005), Na at (0.248, 0.534, 0.324), Ga at (0.294, 0.250, 0.635), B at (0.255, 0.545, 0.781), B at (0.377, 0.750, 0.027), B at (0.485, 0.250, 0.281), O at (0.138, 0.087, 0.722), O at (0.235, 0.611, 0.961), O at (0.284, 0.250, 0.365), O at (0.383, 0.608, 0.655), O at (0.424, 0.750, 0.241) and O at (0.434, 0.250, 0.067).

As for the total magnetization: 0.0 μB/f.u. For the total DFT energy (no corrections), the calculation gives -7.17 eV/atom. For the raw formation energy, the calculation gives -2.30 eV/atom.

# 12
NaGa2BSb: relaxed, GGA-PBEsol.

The structure belongs to space group P4/mmm (No. 123); the cell edges are 5.436, 5.436 and 4.460 Å and the angles 90.00°, 90.00° and 90.00°. The inequivalent atoms are Na at (0.000, 0.000, 0.000), Ga at (0.000, 0.500, 0.500), B at (0.500, 0.500, 0.000) and Sb at (0.500, 0.500, 0.500).

As for the total magnetization: 0.0 μB/f.u. For the total DFT energy (no corrections), the calculation gives -2.98 eV/atom. For the raw formation energy, the calculation gives 0.95 eV/atom.

# 13
NbGa3B: relaxed, GGA-PBEsol.

The structure belongs to space group Pm-3m (No. 221); the cell edges are 4.957, 4.957 and 4.957 Å and the angles 90.00°, 90.00° and 90.00°. The inequivalent atoms are Nb at (0.000, 0.000, 0.000), Ga at (0.000, 0.000, 0.500) and B at (0.500, 0.500, 0.500).

As for the total magnetization: 0.0 μB/f.u. For the total DFT energy (no corrections), the calculation gives -4.10 eV/atom.

# 14
NbGaBSe2: relaxed, GGA-PBEsol.

The structure belongs to space group P4/mmm (No. 123); the cell edges are 5.021, 5.021 and 3.776 Å and the angles 90.00°, 90.00° and 90.00°. The inequivalent atoms are Nb at (0.000, 0.000, 0.000), Ga at (0.500, 0.500, 0.500), B at (0.500, 0.500, 0.000) and Se at (0.000, 0.500, 0.500).

As for the total magnetization: 2.4 μB/f.u. For the total DFT energy (no corrections), the calculation gives -4.90 eV/atom. For the raw formation energy, the calculation gives 0.87 eV/atom.

# 15
NdGa3B4O12: relaxed, GGA-PBEsol.

The structure belongs to space group R32 (No. 155, hexagonal axes); the cell edges are 9.5263, 9.5263 and 7.4857 Å and the angles 90.00°, 90.00° and 120.00°. The inequivalent atoms are Nd at (0.0000, 0.0000, 0.0000), Ga at (0.0000, 0.4485, 0.0000), B at (0.0000, 0.0000, 0.5000), B at (0.0000, 0.5549, 0.5000), O at (0.0000, 0.1457, 0.5000), O at (0.0000, 0.4091, 0.5000) and O at (0.0278, 0.8131, 0.1871).

As for the total magnetization: 0.0 μB/f.u. For the total DFT energy (no corrections), the calculation gives -7.71 eV/atom. For the raw formation energy, the calculation gives -2.40 eV/atom.

# 16
GaNiB3: relaxed, GGA-PBEsol.

The structure belongs to space group Pm-3m (No. 221); the cell edges are 3.819, 3.819 and 3.819 Å and the angles 90.00°, 90.00° and 90.00°. The inequivalent atoms are Ga at (0.000, 0.000, 0.000), Ni at (0.500, 0.500, 0.500) and B at (0.000, 0.500, 0.500).

As for the total magnetization: 0.0 μB/f.u. For the total DFT energy (no corrections), the calculation gives -5.07 eV/atom.

# 17
GaNi2BO5: relaxed, GGA-PBEsol.

The structure belongs to space group Pbam (No. 55); the cell edges are 9.169, 12.112 and 2.960 Å and the angles 90.00°, 90.00° and 90.00°. The inequivalent atoms are Ga at (0.239, 0.116, 0.000), Ni at (0.000, 0.000, 0.500), Ni at (0.000, 0.282, 0.500), Ni at (0.000, 0.500, 0.000), B at (0.227, 0.861, 0.000), O at (0.109, 0.143, 0.500), O at (0.117, 0.579, 0.500), O at (0.122, 0.360, 0.000), O at (0.150, 0.960, 0.000) and O at (0.152, 0.762, 0.000).

As for the total magnetization: 4.0 μB/f.u. For the total DFT energy (no corrections), the calculation gives -6.90 eV/atom. For the raw formation energy, the calculation gives -1.46 eV/atom.

# 18
Ga2SiNiB: relaxed, GGA-PBEsol.

The structure belongs to space group P4/mmm (No. 123); the cell edges are 4.249, 4.249 and 3.877 Å and the angles 90.00°, 90.00° and 90.00°. The inequivalent atoms are Ga at (0.000, 0.500, 0.000), Si at (0.000, 0.000, 0.500), Ni at (0.500, 0.500, 0.500) and B at (0.500, 0.500, 0.000).

As for the total magnetization: 0.0 μB/f.u. For the total DFT energy (no corrections), the calculation gives -4.69 eV/atom. For the raw formation energy, the calculation gives 0.43 eV/atom.